KSr3: PBEsol geometry, meta-GGA SCAN.

The calculation puts the formation energy at 85.5 meV per atom. As for the energy above the most stable polymorph in this dataset: 0.035 eV/atom. For the theoretical density, the calculation gives 2.28 g/cm3. The total magnetization is 0.4 μB/f.u.

Cell: 4.214 6.107 8.555 Å, 90.00 90.00 90.00°
Space group Pmmm (No. 47)
One atom of each set of equivalent atoms:
K: 0.000 0.000 0.000 x1
Sr: 0.000 0.000 0.500 x1
Sr: 0.500 0.500 0.261 x2